The following is a DFT calculation (GGA+U) of a relaxed structure of RbCoPO2.

a b c (Å): 4.1871 4.1871 6.8489
angles (deg): 90.00 90.00 90.00
With the nearest neighbours (Å) after each atom.
Sites, in units of the cell vectors:
Co  0.5000  0.5000  0.5000  4 P 2.96
O  0.5000  0.0000  0.0000  2 Rb 2.09
Rb  0.0000  0.0000  0.0000  4 O 2.09
O  0.0000  0.5000  0.0000  2 Rb 2.09
P  0.0000  0.0000  0.5000  4 Co 2.96

## Properties
Calculated total energy = -2.804 eV per atom
Calculated density = 2.87 g/cm3
Polymorph energy (0 for the lowest one) = 1426 meV/atom